[1]
## AuCO2 (PBE)

Data for an optimized crystal structure of AuCO2.

abc: 8.7017 8.7017 8.7017
angles: 18.80 18.80 18.80
With the nearest neighbours (Å) after each atom.
Element x y z (fractional)
O 0.9542 0.9542 0.9542  1 C 1.18
O 0.0458 0.0458 0.0458  1 C 1.18
C 0.0000 0.0000 0.0000  2 O 1.18
Au 0.5000 0.5000 0.5000  6 Au 2.84

## Properties
The formation energy without anion corrections comes out at -0.68 eV/atom. For the calculated volume, the calculation gives 60 Å³/cell. The value obtained for the calculated density is 6.694 g cm⁻³. The energy above the most stable polymorph in this dataset is 0.00 kJ per mole of atoms. The space group is R-3m (166). The value obtained for the density of states at the Fermi level is 0.060 states/eV/atom.

***

[2]
## AuCO2 (PBE)

Data for an optimized crystal structure of AuCO2.

abc: 4.8675 4.8675 4.8704
angles: 60.02 60.02 90.00
With the nearest neighbours (Å) after each atom.
Element x y z (fractional)
C 0.5000 0.5000 0.0000  4 O 1.49
O 0.3750 0.6248 0.7500  2 C 1.49
C 0.2500 0.7500 0.5000  4 O 1.49
Au 0.7500 0.2500 0.5000  12 O 2.85-2.86, 4 Au 2.98, 4 C 2.98
Au 0.0000 0.0000 0.0000  12 O 2.85-2.86, 4 C 2.98, 4 Au 2.98
O 0.3752 0.1250 0.2500  2 C 1.49
O 0.3748 0.6250 0.2500  2 C 1.49
O 0.8750 0.6252 0.7500  2 C 1.49

## Properties
The formation energy without anion corrections comes out at 0.69 eV/atom. For the calculated volume, the calculation gives 82 Å³/cell. The value obtained for the calculated density is 9.802 g cm⁻³. The energy above the most stable polymorph in this dataset is 132.64 kJ per mole of atoms. The space group is Fd-3m (227). The value obtained for the density of states at the Fermi level is 0.269 states/eV/atom.

***

[3]
## AuC2O (PBE)

Data for an optimized crystal structure of AuC2O.

abc: 3.8661 3.8661 3.8661
angles: 60.00 60.00 60.00
With the nearest neighbours (Å) after each atom.
Element x y z (fractional)
Au 0.5000 0.5000 0.5000  8 C 2.37
C 0.2500 0.2500 0.2500  4 O 2.37, 4 Au 2.37
O 0.0000 0.0000 0.0000  8 C 2.37
C 0.7500 0.7500 0.7500  4 O 2.37, 4 Au 2.37

## Properties
The formation energy without anion corrections comes out at 2.75 eV/atom. For the calculated volume, the calculation gives 41 Å³/cell. The value obtained for the calculated density is 9.631 g cm⁻³. The energy above the most stable polymorph in this dataset is 71.41 kJ per mole of atoms. The space group is Fm-3m (225). The value obtained for the density of states at the Fermi level is 0.769 states/eV/atom.

***

[4]
## AuCO3 (PBE)

Data for an optimized crystal structure of AuCO3.

abc: 3.5151 3.5151 3.5151
angles: 90.00 90.00 90.00
With the nearest neighbours (Å) after each atom.
Element x y z (fractional)
C 0.0000 0.0000 0.0000  6 O 1.76
Au 0.5000 0.5000 0.5000  12 O 2.49
O 0.0000 0.5000 0.0000  2 C 1.76
O 0.5000 0.0000 0.0000  2 C 1.76
O 0.0000 0.0000 0.5000  2 C 1.76

## Properties
The formation energy without anion corrections comes out at 1.29 eV/atom. For the calculated volume, the calculation gives 43 Å³/cell. The value obtained for the calculated density is 9.825 g cm⁻³. The space group is Pm-3m (221). The value obtained for the density of states at the Fermi level is 0.598 states/eV/atom.

***

[5]
## P2AuCO (PBE)

Data for an optimized crystal structure of P2AuCO.

abc: 4.3336 4.3336 3.2356
angles: 90.00 90.00 90.00
With the nearest neighbours (Å) after each atom.
Element x y z (fractional)
P 0.5000 0.0000 0.0000  2 C 2.17
Au 0.5000 0.5000 0.5000  8 P 2.70
O 0.0000 0.0000 0.5000  2 C 1.62
C 0.0000 0.0000 0.0000  2 O 1.62
P 0.0000 0.5000 0.0000  2 C 2.17

## Properties
The formation energy without anion corrections comes out at 0.99 eV/atom. For the calculated volume, the calculation gives 61 Å³/cell. The value obtained for the calculated density is 7.841 g cm⁻³. The energy above the most stable polymorph in this dataset is 0.00 kJ per mole of atoms. The space group is P4/mmm (123). The value obtained for the density of states at the Fermi level is 0.565 states/eV/atom.

***

[6]
## P2AuCO (PBE)

Data for an optimized crystal structure of P2AuCO.

abc: 4.8370 4.8370 3.8777
angles: 90.00 90.00 90.00
With the nearest neighbours (Å) after each atom.
Element x y z (fractional)
P 0.5000 0.0000 0.0000  2 Au 2.42
P 0.0000 0.5000 0.0000  2 Au 2.42
Au 0.0000 0.0000 0.0000  2 O 1.94
O 0.0000 0.0000 0.5000  2 Au 1.94
C 0.5000 0.5000 0.5000  8 P 3.10, 4 O 3.42

## Properties
The formation energy without anion corrections comes out at 2.15 eV/atom. For the calculated volume, the calculation gives 91 Å³/cell. The value obtained for the calculated density is 5.252 g cm⁻³. The energy above the most stable polymorph in this dataset is 111.38 kJ per mole of atoms. The space group is P4/mmm (123). The value obtained for the density of states at the Fermi level is 0.795 states/eV/atom.

***

[7]
## PaAuC2O8 (PBE)

Data for an optimized crystal structure of PaAuC2O8.

abc: 4.8997 4.8997 6.9621
angles: 96.45 96.45 66.38
With the nearest neighbours (Å) after each atom.
Element x y z (fractional)
Au 0.0000 0.0000 0.5000  2 O 2.01
O 0.2302 0.2302 0.8929  1 C 1.39
C 0.3317 0.3317 0.7474  4 O 1.37-1.41
O 0.2207 0.6462 0.7737  1 C 1.41
O 0.7698 0.7698 0.1071  1 C 1.39
O 0.6462 0.2207 0.7737  1 C 1.41
O 0.3538 0.7793 0.2263  1 C 1.41
O 0.2470 0.2470 0.5640  1 C 1.37
O 0.7793 0.3538 0.2263  1 C 1.41
O 0.7530 0.7530 0.4360  1 C 1.37
Pa 0.0000 0.0000 0.0000  6 O 2.12-2.22
C 0.6683 0.6683 0.2526  4 O 1.37-1.41

## Properties
The formation energy without anion corrections comes out at -1.39 eV/atom. For the calculated volume, the calculation gives 152 Å³/cell. The value obtained for the calculated density is 6.347 g cm⁻³. The space group is C2/m (12). The value obtained for the density of states at the Fermi level is 0.450 states/eV/atom.

***

[8]
## PmAuC2O6 (PBE)

Data for an optimized crystal structure of PmAuC2O6.

abc: 6.6360 6.6360 7.6188
angles: 112.72 112.72 89.00
With the nearest neighbours (Å) after each atom.
Element x y z (fractional)
O 0.3833 0.9170 0.7185  1 C 1.26
C 0.3831 0.1042 0.7133  3 O 1.26-1.32
Pm 0.5797 0.4203 0.2500  6 O 2.34-2.46
C 0.6169 0.8958 0.2867  3 O 1.26-1.32
O 0.7086 0.8596 0.4580  1 C 1.32
C 0.1042 0.3831 0.2133  3 O 1.26-1.32
O 0.2914 0.1404 0.5420  1 C 1.32
Pm 0.4203 0.5797 0.7500  6 O 2.34-2.46
O 0.8596 0.7086 0.9580  1 C 1.32
O 0.1404 0.2914 0.0420  1 C 1.32
O 0.6167 0.0830 0.2815  1 C 1.26
Au 0.9094 0.0906 0.7500  2 O 2.05
O 0.7121 0.5230 0.6205  1 C 1.30
O 0.4770 0.2879 0.8795  1 C 1.30
O 0.9170 0.3833 0.2185  1 C 1.26
C 0.8958 0.6169 0.7867  3 O 1.26-1.32
O 0.0830 0.6167 0.7815  1 C 1.26
Au 0.0906 0.9094 0.2500  2 O 2.05
O 0.5230 0.7121 0.1205  1 C 1.30
O 0.2879 0.4770 0.3795  1 C 1.30

## Properties
The formation energy without anion corrections comes out at -1.72 eV/atom. For the calculated volume, the calculation gives 282 Å³/cell. The value obtained for the calculated density is 5.440 g cm⁻³. The space group is C2/c (15). The value obtained for the density of states at the Fermi level is 0.000 states/eV/atom.

***

[9]
## RhAuCO2 (PBE)

Data for an optimized crystal structure of RhAuCO2.

abc: 4.0287 3.8736 4.0287
angles: 90.00 90.00 90.00
With the nearest neighbours (Å) after each atom.
Element x y z (fractional)
Au 0.5000 0.5000 0.5000  8 O 2.79, 4 C 2.85
O 0.0000 0.0000 0.5000  2 Rh 2.01
C 0.0000 0.5000 0.0000  2 Rh 1.94
O 0.5000 0.0000 0.0000  2 Rh 2.01
Rh 0.0000 0.0000 0.0000  2 C 1.94, 4 O 2.01

## Properties
The formation energy without anion corrections comes out at 0.95 eV/atom. For the calculated volume, the calculation gives 63 Å³/cell. The value obtained for the calculated density is 9.083 g cm⁻³. The space group is P4/mmm (123). The value obtained for the density of states at the Fermi level is 0.916 states/eV/atom.

***

[10]
## SnAuCO2 (PBE)

Data for an optimized crystal structure of SnAuCO2.

abc: 3.9343 4.2805 3.9343
angles: 90.00 90.00 90.00
With the nearest neighbours (Å) after each atom.
Element x y z (fractional)
Sn 0.0000 0.5000 0.0000  2 C 2.14
O 0.0000 0.0000 0.5000  2 C 1.97
Au 0.5000 0.5000 0.5000  4 Sn 2.78, 8 O 2.91
O 0.5000 0.0000 0.0000  2 C 1.97
C 0.0000 0.0000 0.0000  4 O 1.97, 2 Sn 2.14

## Properties
The formation energy without anion corrections comes out at 1.09 eV/atom. For the calculated volume, the calculation gives 66 Å³/cell. The value obtained for the calculated density is 9.015 g cm⁻³. The space group is P4/mmm (123). The value obtained for the density of states at the Fermi level is 0.403 states/eV/atom.

***

Question: What is the formula in the sixth record?
Answer: P2AuCO

***

What did the fifth record say?
## P2AuCO (PBE)

Data for an optimized crystal structure of P2AuCO.

abc: 4.3336 4.3336 3.2356
angles: 90.00 90.00 90.00
With the nearest neighbours (Å) after each atom.
Element x y z (fractional)
P 0.5000 0.0000 0.0000  2 C 2.17
Au 0.5000 0.5000 0.5000  8 P 2.70
O 0.0000 0.0000 0.5000  2 C 1.62
C 0.0000 0.0000 0.0000  2 O 1.62
P 0.0000 0.5000 0.0000  2 C 2.17

## Properties
The formation energy without anion corrections comes out at 0.99 eV/atom. For the calculated volume, the calculation gives 61 Å³/cell. The value obtained for the calculated density is 7.841 g cm⁻³. The energy above the most stable polymorph in this dataset is 0.00 kJ per mole of atoms. The space group is P4/mmm (123). The value obtained for the density of states at the Fermi level is 0.565 states/eV/atom.